DFT (PBE) results for Ta2SiAg after structural relaxation.

Values from the calculation:
Symmetry: P2/m, No. 10
E_form (uncorrected), eV/atom: 0.05

Cell lengths 2.8872, 4.0903, 5.6972 Å; angles 90.00, 97.00, 90.00 degrees
Last column: nearest neighbours and their distance in Å.
Positions (direct):
Ta  0.0563  0.0000  0.2651  2 Si 2.68, 4 Ta 2.74-3.00, 4 Ag 2.91-2.93
Ta  0.9437  0.0000  0.7349  2 Si 2.68, 4 Ta 2.74-3.00, 4 Ag 2.91-2.93
Si  0.5000  0.5000  0.5000  4 Ta 2.68, 2 Ag 2.85, 2 Si 2.89
Ag  0.5000  0.5000  0.0000  2 Si 2.85, 2 Ag 2.89, 8 Ta 2.91-2.93

=====

DFT (PBE) results for KFeOs3 after structural relaxation.

Values from the calculation:
Symmetry: Pm-3m, No. 221
E above lowest polymorph, meV per atom: 0

Cell lengths 4.5520, 4.5520, 4.5520 Å; angles 90.00, 90.00, 90.00 degrees
Last column: nearest neighbours and their distance in Å.
Positions (direct):
K  0.0000  0.0000  0.0000  12 Os 3.22
Fe  0.5000  0.5000  0.5000  6 Os 2.28
Os  0.0000  0.5000  0.5000  2 Fe 2.28
Os  0.5000  0.0000  0.5000  2 Fe 2.28
Os  0.5000  0.5000  0.0000  2 Fe 2.28

=====

Sequential final energy output: -7.95, -6.75 eV per atom